(1)
DFT (PBE) results for AgTeAu2 after structural relaxation.

As for the raw formation energy: 0.112 eV per atom. For the volume, the calculation gives 162.3 Å³/cell.

The space group is Imm2 (No. 44) and the conventional cell measures 4.2348, 4.2386 and 9.0431 Å, with angles of 90.00, 90.00 and 90.00 degrees. The distinct sites, in fractional coordinates, are Ag at (0.0000, 0.0000, 0.0000), Te at (0.0000, 0.5000, 0.2496), Au at (0.0000, 0.0000, 0.5001) and Au at (0.0000, 0.5000, 0.7507).



(2)
DFT (PBE) results for AgTe2Au after structural relaxation.

As for the raw formation energy: 0.116 eV per atom. For the volume, the calculation gives 380.7 Å³/cell.

The space group is R-3m (No. 166, hexagonal axes) and the conventional cell measures 4.2344, 4.2344 and 24.5185 Å, with angles of 90.00, 90.00 and 120.00 degrees. The distinct sites, in fractional coordinates, are Ag at (0.0000, 0.0000, 0.0000), Te at (0.0000, 0.0000, 0.3948) and Au at (0.0000, 0.0000, 0.5000).



(3)
DFT (PBE) results for AgTe8Au2 after structural relaxation.

As for the raw formation energy: 0.079 eV per atom. For the volume, the calculation gives 668.7 Å³/cell.

The space group is C2/m (No. 12) and the conventional cell measures 10.8409, 8.4616 and 7.3344 Å, with angles of 90.00, 96.36 and 90.00 degrees. The distinct sites, in fractional coordinates, are Ag at (0.0000, 0.0000, 0.0000), Te at (0.0480, 0.5000, 0.6808), Te at (0.1453, 0.0000, 0.6819), Te at (0.1531, 0.2811, 0.1288) and Au at (0.1882, 0.0000, 0.3228).